Computed, not measured: a relaxed structure of Rb2PuVF6 at the PBE+U level of DFT.

## Properties
* size of the total moment: 17.80 Bohr magnetons per cell
* final energy: -126.1 eV for the cell shown

Cell: 6.290 8.970 6.666 Å, 90.00 90.00 90.00°
Space group Pmmn (No. 59, origin choice 2)
One atom of each set of equivalent atoms:
Rb (0.250, 0.012, 0.211) (multiplicity 4)
Pu (0.250, 0.250, 0.703) (multiplicity 2)
V (0.250, 0.750, 0.777) (multiplicity 2)
F (0.010, 0.750, 0.005) (multiplicity 4)
F (0.010, 0.750, 0.549) (multiplicity 4)
F (0.250, 0.512, 0.783) (multiplicity 4)